# NdSb2Rh3

NdSb2Rh3 after structural relaxation (PBE-GGA, Alexandria via LeMat-Bulk).

crystal system	orthorhombic
uncorrected formation energy	-10.7	kcal/mol of atoms

abc: 4.1046 15.1396 3.8252
angles: 90.00 90.00 90.00
Sites, in units of the cell vectors:
Nd  0.2500  0.2500  0.2486
Nd  0.7500  0.7500  0.7514
Sb  0.2500  0.5769  0.7502
Sb  0.2500  0.9231  0.7502
Sb  0.7500  0.0769  0.2498
Sb  0.7500  0.4231  0.2498
Rh  0.2500  0.1020  0.7492
Rh  0.2500  0.3980  0.7492
Rh  0.2500  0.7500  0.2515
Rh  0.7500  0.2500  0.7485
Rh  0.7500  0.6020  0.2508
Rh  0.7500  0.8980  0.2508